[1]
This record from the Alexandria database describes an optimized crystal structure of BeTc2Sb. The functional is PBE.

Lattice parameters (Å, degrees): 2.982 2.982 8.271 90.00 90.00 90.00
Space group P4mm (No. 99)
One atom of each set of equivalent atoms:
1 Be 0.000 0.000 0.000 (multiplicity 1)
2 Tc 0.000 0.000 0.670 (multiplicity 1)
3 Tc 0.500 0.500 0.859 (multiplicity 1)
4 Sb 0.500 0.500 0.429 (multiplicity 1)

Properties
- formation energy from raw total energies (meV/atom) = 198
- distance to the lowest polymorph of the same formula (eV/f.u.) = 0.73

=====

[2]
This record from the Alexandria database describes an optimized crystal structure of BeTc3Sb. The functional is PBE.

Lattice parameters (Å, degrees): 4.830 4.830 4.830 90.00 90.00 90.00
Space group Pm-3m (No. 221)
One atom of each set of equivalent atoms:
1 Be 0.000 0.000 0.000 (multiplicity 1)
2 Tc 0.000 0.500 0.500 (multiplicity 3)
3 Sb 0.500 0.500 0.500 (multiplicity 1)

Properties
- formation energy from raw total energies (meV/atom) = 2194
- distance to the lowest polymorph of the same formula (eV/f.u.) = 8.29

=====

[3]
This record from the Alexandria database describes an optimized crystal structure of BeTc2Sb. The functional is PBE.

Lattice parameters (Å, degrees): 5.471 8.335 2.987 90.00 115.12 90.00
Space group C2/m (No. 12)
One atom of each set of equivalent atoms:
1 Be 0.000 0.000 0.000 (multiplicity 2)
2 Tc 0.250 0.250 0.500 (multiplicity 4)
3 Sb 0.000 0.500 0.000 (multiplicity 2)

Properties
- formation energy from raw total energies (meV/atom) = 439
- distance to the lowest polymorph of the same formula (eV/f.u.) = 1.69

=====

[4]
This record from the Alexandria database describes an optimized crystal structure of Be3TcSb. The functional is PBE.

Lattice parameters (Å, degrees): 4.498 4.498 4.498 90.00 90.00 90.00
Space group Pm-3m (No. 221)
One atom of each set of equivalent atoms:
1 Be 0.000 0.000 0.500 (multiplicity 3)
2 Tc 0.500 0.500 0.500 (multiplicity 1)
3 Sb 0.000 0.000 0.000 (multiplicity 1)

Properties
- formation energy from raw total energies (meV/atom) = 1736
- distance to the lowest polymorph of the same formula (eV/f.u.) = 4.64

=====

[5]
This record from the Alexandria database describes an optimized crystal structure of BeTc2Sb. The functional is PBE.

Lattice parameters (Å, degrees): 2.9437 2.9437 25.1903 90.00 90.00 120.00
Space group R3m (No. 160, hexagonal axes)
One atom of each set of equivalent atoms:
1 Be 0.0000 0.0000 0.0000 (multiplicity 3)
2 Tc 0.0000 0.0000 0.2622 (multiplicity 3)
3 Tc 0.0000 0.0000 0.5148 (multiplicity 3)
4 Sb 0.0000 0.0000 0.7570 (multiplicity 3)

Properties
- formation energy from raw total energies (meV/atom) = 408
- distance to the lowest polymorph of the same formula (eV/f.u.) = 1.57

=====

[6]
This record from the Alexandria database describes an optimized crystal structure of BeTc2Sb. The functional is PBE.

Lattice parameters (Å, degrees): 3.1975 3.1975 20.3359 90.00 90.00 120.00
Space group R-3m (No. 166, hexagonal axes)
One atom of each set of equivalent atoms:
1 Be 0.0000 0.0000 0.0000 (multiplicity 3)
2 Tc 0.0000 0.0000 0.2719 (multiplicity 6)
3 Sb 0.0000 0.0000 0.5000 (multiplicity 3)

Properties
- formation energy from raw total energies (meV/atom) = 239
- distance to the lowest polymorph of the same formula (eV/f.u.) = 0.89

=====

[7]
This record from the Alexandria database describes an optimized crystal structure of BeTcSb4. The functional is PBE.

Lattice parameters (Å, degrees): 8.594 8.594 8.594 90.00 90.00 90.00
Space group F-43m (No. 216)
One atom of each set of equivalent atoms:
1 Be 0.000 0.000 0.000 (multiplicity 4)
2 Tc 0.250 0.250 0.250 (multiplicity 4)
3 Sb 0.125 0.125 0.625 (multiplicity 16)

Properties
- formation energy from raw total energies (meV/atom) = 1244

=====

[8]
This record from the Alexandria database describes an optimized crystal structure of BeTc2Sb. The functional is PBE.

Lattice parameters (Å, degrees): 3.098 3.098 6.076 90.00 90.00 90.00
Space group P4/mmm (No. 123)
One atom of each set of equivalent atoms:
1 Be 0.000 0.000 0.000 (multiplicity 1)
2 Tc 0.500 0.500 0.209 (multiplicity 2)
3 Sb 0.000 0.000 0.500 (multiplicity 1)

Properties
- formation energy from raw total energies (meV/atom) = 188
- distance to the lowest polymorph of the same formula (eV/f.u.) = 0.69